Version P
Density functional theory data (PBE) for a relaxed structure of Pm2IrAu.

Lattice parameters (Å, degrees): 3.6037 3.6037 7.2484 90.00 90.00 90.00
Last column: nearest neighbours and their distance in Å.
Sites, in units of the cell vectors:
Pm (0.0000, 0.0000, 0.2328)  4 Ir 3.06, 4 Au 3.20, 1 Pm 3.38
Pm (0.0000, 0.0000, 0.7672)  4 Ir 3.06, 4 Au 3.20, 1 Pm 3.38
Ir (0.5000, 0.5000, 0.0000)  8 Pm 3.06
Au (0.5000, 0.5000, 0.5000)  8 Pm 3.20

Its total magnetic moment is 0.00 Bohr magnetons per cell.


Version Q
Density functional theory data (PBE) for a relaxed structure of Pm2IrAu.

Lattice parameters (Å, degrees): 5.8624 4.5227 7.8992 90.00 110.91 90.00
Last column: nearest neighbours and their distance in Å.
Sites, in units of the cell vectors:
Pm (0.2128, 0.2500, 0.4391)  4 Ir 2.97-3.29, 3 Au 3.11-3.12
Pm (0.2354, 0.2500, 0.9223)  3 Ir 2.98-3.10, 4 Au 3.05-3.12
Pm (0.7646, 0.7500, 0.0777)  3 Ir 2.98-3.10, 4 Au 3.05-3.12
Pm (0.7872, 0.7500, 0.5609)  4 Ir 2.97-3.29, 3 Au 3.11-3.12
Ir (0.3300, 0.7500, 0.7102)  2 Au 2.96, 7 Pm 2.97-3.29
Ir (0.6700, 0.2500, 0.2898)  2 Au 2.96, 7 Pm 2.97-3.29
Au (0.3217, 0.7500, 0.2093)  2 Ir 2.96, 7 Pm 3.05-3.12
Au (0.6783, 0.2500, 0.7907)  2 Ir 2.96, 7 Pm 3.05-3.12

Its total magnetic moment is 0.00 Bohr magnetons per cell.


Version R
Density functional theory data (PBE) for a relaxed structure of Pm2IrAu.

Lattice parameters (Å, degrees): 4.1532 4.1532 21.5677 90.00 90.00 120.00
Last column: nearest neighbours and their distance in Å.
Sites, in units of the cell vectors:
Pm (0.0000, 0.0000, 0.0000)  3 Ir 2.84, 3 Au 3.13
Pm (0.0000, 0.0000, 0.1897)  3 Ir 2.87, 3 Au 3.17
Pm (0.3333, 0.6667, 0.6667)  3 Ir 2.84, 3 Au 3.13
Pm (0.3333, 0.6667, 0.8564)  3 Ir 2.87, 3 Au 3.17
Pm (0.6667, 0.3333, 0.3333)  3 Ir 2.84, 3 Au 3.13
Pm (0.6667, 0.3333, 0.5230)  3 Ir 2.87, 3 Au 3.17
Ir (0.0000, 0.0000, 0.5959)  6 Pm 2.84-2.87
Ir (0.3333, 0.6667, 0.2625)  6 Pm 2.84-2.87
Ir (0.6667, 0.3333, 0.9292)  6 Pm 2.84-2.87
Au (0.0000, 0.0000, 0.7600)  6 Pm 3.13-3.17
Au (0.3333, 0.6667, 0.4267)  6 Pm 3.13-3.17
Au (0.6667, 0.3333, 0.0934)  6 Pm 3.13-3.17

Its total magnetic moment is 0.00 Bohr magnetons per cell.


Version S
Density functional theory data (PBE) for a relaxed structure of Pm2IrAu.

Lattice parameters (Å, degrees): 7.2042 7.2042 7.2042 90.00 90.00 90.00
Last column: nearest neighbours and their distance in Å.
Sites, in units of the cell vectors:
Pm (0.2500, 0.2500, 0.2500)  4 Ir 3.12, 4 Au 3.12
Pm (0.2500, 0.2500, 0.7500)  4 Ir 3.12, 4 Au 3.12
Pm (0.2500, 0.7500, 0.2500)  4 Ir 3.12, 4 Au 3.12
Pm (0.2500, 0.7500, 0.7500)  4 Ir 3.12, 4 Au 3.12
Pm (0.7500, 0.2500, 0.2500)  4 Ir 3.12, 4 Au 3.12
Pm (0.7500, 0.2500, 0.7500)  4 Ir 3.12, 4 Au 3.12
Pm (0.7500, 0.7500, 0.2500)  4 Ir 3.12, 4 Au 3.12
Pm (0.7500, 0.7500, 0.7500)  4 Ir 3.12, 4 Au 3.12
Ir (0.0000, 0.0000, 0.0000)  8 Pm 3.12
Ir (0.0000, 0.5000, 0.5000)  8 Pm 3.12
Ir (0.5000, 0.0000, 0.5000)  8 Pm 3.12
Ir (0.5000, 0.5000, 0.0000)  8 Pm 3.12
Au (0.0000, 0.0000, 0.5000)  8 Pm 3.12
Au (0.0000, 0.5000, 0.0000)  8 Pm 3.12
Au (0.5000, 0.0000, 0.0000)  8 Pm 3.12
Au (0.5000, 0.5000, 0.5000)  8 Pm 3.12

Its total magnetic moment is 0.00 Bohr magnetons per cell.


Short version: version Q is the most stable of them.


Version P
Density functional theory data (PBE) for a relaxed structure of PmSmIrAu.

Lattice parameters (Å, degrees): 4.5712 3.9247 10.7887 90.00 90.00 90.00
Last column: nearest neighbours and their distance in Å.
Sites, in units of the cell vectors:
Pm (0.0000, 0.0000, 0.0000)  3 Ir 2.91-3.17, 4 Au 3.08
Pm (0.0000, 0.5000, 0.5000)  3 Ir 2.91-3.17, 4 Au 3.08
Sm (0.5000, 0.0000, 0.7219)  3 Au 3.03-3.08, 4 Ir 3.06
Sm (0.5000, 0.5000, 0.2219)  3 Au 3.03-3.08, 4 Ir 3.06
Ir (0.0000, 0.0000, 0.2695)  3 Pm 2.91-3.17, 2 Au 2.94, 4 Sm 3.06
Ir (0.0000, 0.5000, 0.7695)  3 Pm 2.91-3.17, 2 Au 2.94, 4 Sm 3.06
Au (0.5000, 0.0000, 0.4414)  2 Ir 2.94, 3 Sm 3.03-3.08, 4 Pm 3.08
Au (0.5000, 0.5000, 0.9414)  2 Ir 2.94, 3 Sm 3.03-3.08, 4 Pm 3.08

Its total magnetic moment is 0.00 Bohr magnetons per cell.


Version Q
Density functional theory data (PBE) for a relaxed structure of PmSmIrAu.

Lattice parameters (Å, degrees): 7.1862 7.1862 7.1862 90.00 90.00 90.00
Last column: nearest neighbours and their distance in Å.
Sites, in units of the cell vectors:
Pm (0.0000, 0.0000, 0.0000)  4 Au 3.11, 4 Ir 3.11
Pm (0.0000, 0.5000, 0.5000)  4 Au 3.11, 4 Ir 3.11
Pm (0.5000, 0.0000, 0.5000)  4 Au 3.11, 4 Ir 3.11
Pm (0.5000, 0.5000, 0.0000)  4 Au 3.11, 4 Ir 3.11
Sm (0.0000, 0.0000, 0.5000)  4 Ir 3.11, 4 Au 3.11
Sm (0.0000, 0.5000, 0.0000)  4 Ir 3.11, 4 Au 3.11
Sm (0.5000, 0.0000, 0.0000)  4 Ir 3.11, 4 Au 3.11
Sm (0.5000, 0.5000, 0.5000)  4 Ir 3.11, 4 Au 3.11
Ir (0.2500, 0.2500, 0.7500)  4 Pm 3.11, 4 Sm 3.11
Ir (0.2500, 0.7500, 0.2500)  4 Pm 3.11, 4 Sm 3.11
Ir (0.7500, 0.2500, 0.2500)  4 Pm 3.11, 4 Sm 3.11
Ir (0.7500, 0.7500, 0.7500)  4 Pm 3.11, 4 Sm 3.11
Au (0.2500, 0.2500, 0.2500)  4 Sm 3.11, 4 Pm 3.11
Au (0.2500, 0.7500, 0.7500)  4 Pm 3.11, 4 Sm 3.11
Au (0.7500, 0.2500, 0.7500)  4 Pm 3.11, 4 Sm 3.11
Au (0.7500, 0.7500, 0.2500)  4 Pm 3.11, 4 Sm 3.11

Its total magnetic moment is 0.00 Bohr magnetons per cell.


Short version: version P is the most stable of them.


Version P
Density functional theory data (PBE) for a relaxed structure of PmThIrAu.

Lattice parameters (Å, degrees): 4.2096 3.9868 11.9312 90.00 90.00 90.00
Last column: nearest neighbours and their distance in Å.
Sites, in units of the cell vectors:
Pm (0.0000, 0.0000, 0.0000)  1 Ir 2.95, 4 Au 3.01
Pm (0.0000, 0.5000, 0.5000)  1 Ir 2.95, 4 Au 3.01
Th (0.5000, 0.0000, 0.7199)  4 Ir 2.92, 2 Au 3.22
Th (0.5000, 0.5000, 0.2199)  4 Ir 2.92, 2 Au 3.22
Ir (0.0000, 0.0000, 0.2473)  4 Th 2.92, 1 Pm 2.95, 2 Au 3.05
Ir (0.0000, 0.5000, 0.7473)  4 Th 2.92, 1 Pm 2.95, 2 Au 3.05
Au (0.5000, 0.0000, 0.4319)  4 Pm 3.01, 2 Ir 3.05, 2 Th 3.22
Au (0.5000, 0.5000, 0.9319)  4 Pm 3.01, 2 Ir 3.05, 2 Th 3.22

Its total magnetic moment is 0.00 Bohr magnetons per cell.


Version Q
Density functional theory data (PBE) for a relaxed structure of PmThIrAu.

Lattice parameters (Å, degrees): 7.2551 7.2551 7.2551 90.00 90.00 90.00
Last column: nearest neighbours and their distance in Å.
Sites, in units of the cell vectors:
Pm (0.0000, 0.0000, 0.0000)  4 Ir 3.14, 4 Au 3.14
Pm (0.0000, 0.5000, 0.5000)  4 Ir 3.14, 4 Au 3.14
Pm (0.5000, 0.0000, 0.5000)  4 Ir 3.14, 4 Au 3.14
Pm (0.5000, 0.5000, 0.0000)  4 Ir 3.14, 4 Au 3.14
Th (0.0000, 0.0000, 0.5000)  4 Ir 3.14, 4 Au 3.14
Th (0.0000, 0.5000, 0.0000)  4 Ir 3.14, 4 Au 3.14
Th (0.5000, 0.0000, 0.0000)  4 Ir 3.14, 4 Au 3.14
Th (0.5000, 0.5000, 0.5000)  4 Ir 3.14, 4 Au 3.14
Ir (0.2500, 0.2500, 0.2500)  4 Th 3.14, 4 Pm 3.14
Ir (0.2500, 0.7500, 0.7500)  4 Th 3.14, 4 Pm 3.14
Ir (0.7500, 0.2500, 0.7500)  4 Th 3.14, 4 Pm 3.14
Ir (0.7500, 0.7500, 0.2500)  4 Th 3.14, 4 Pm 3.14
Au (0.2500, 0.2500, 0.7500)  4 Th 3.14, 4 Pm 3.14
Au (0.2500, 0.7500, 0.2500)  4 Th 3.14, 4 Pm 3.14
Au (0.7500, 0.2500, 0.2500)  4 Th 3.14, 4 Pm 3.14
Au (0.7500, 0.7500, 0.7500)  4 Pm 3.14, 4 Th 3.14

Its total magnetic moment is 0.00 Bohr magnetons per cell.


Short version: version P is the most stable of them.


Version P
Density functional theory data (PBE) for a relaxed structure of Pr6Ir3Au.

Lattice parameters (Å, degrees): 9.1270 9.1270 7.3889 90.00 90.00 104.43
Last column: nearest neighbours and their distance in Å.
Sites, in units of the cell vectors:
Pr (0.0138, 0.9862, 0.5000)  2 Ir 2.91, 2 Au 3.00-3.09
Pr (0.1022, 0.5476, 0.5529)  3 Ir 2.89-3.04, 1 Au 3.02
Pr (0.2293, 0.7707, 0.1571)  3 Ir 2.89-2.96, 1 Au 2.96
Pr (0.3050, 0.3614, 0.0999)  4 Ir 2.98-3.09
Pr (0.3614, 0.3050, 0.5999)  4 Ir 2.98-3.09
Pr (0.4524, 0.8978, 0.5529)  3 Ir 2.89-3.04, 1 Au 3.02
Pr (0.5476, 0.1022, 0.0529)  3 Ir 2.89-3.04, 1 Au 3.02
Pr (0.6386, 0.6950, 0.0999)  4 Ir 2.98-3.09
Pr (0.6950, 0.6386, 0.5999)  4 Ir 2.98-3.09
Pr (0.7707, 0.2293, 0.6571)  3 Ir 2.89-2.96, 1 Au 2.96
Pr (0.8978, 0.4524, 0.0529)  3 Ir 2.89-3.04, 1 Au 3.02
Pr (0.9862, 0.0138, 0.0000)  2 Ir 2.91, 2 Au 3.00-3.09
Ir (0.0744, 0.2965, 0.8006)  6 Pr 2.89-3.04
Ir (0.2965, 0.0744, 0.3006)  6 Pr 2.89-3.04
Ir (0.3993, 0.6007, 0.3815)  7 Pr 2.92-3.09
Ir (0.6007, 0.3993, 0.8815)  7 Pr 2.92-3.09
Ir (0.7035, 0.9256, 0.8006)  6 Pr 2.89-3.04
Ir (0.9256, 0.7035, 0.3006)  6 Pr 2.89-3.04
Au (0.1667, 0.8333, 0.7760)  5 Pr 2.96-3.09
Au (0.8333, 0.1667, 0.2760)  5 Pr 2.96-3.09

Its total magnetic moment is 0.00 Bohr magnetons per cell.


Version Q
Density functional theory data (PBE) for a relaxed structure of Pr6Ir3Au.

Lattice parameters (Å, degrees): 12.0633 4.2607 12.1126 90.00 108.73 90.00
Last column: nearest neighbours and their distance in Å.
Sites, in units of the cell vectors:
Pr (0.0446, 0.2500, 0.4057)  3 Ir 2.83-2.86
Pr (0.1094, 0.2500, 0.9571)  4 Ir 2.90-2.96
Pr (0.2117, 0.7500, 0.2683)  3 Ir 2.93-2.99
Pr (0.2626, 0.7500, 0.7717)  3 Ir 2.83-3.00
Pr (0.3768, 0.2500, 0.5483)  2 Ir 2.93, 3 Au 3.22-3.24
Pr (0.4355, 0.7500, 0.1007)  3 Ir 2.85-2.92
Pr (0.5645, 0.2500, 0.8993)  3 Ir 2.85-2.92
Pr (0.6232, 0.7500, 0.4517)  2 Ir 2.93, 3 Au 3.22-3.24
Pr (0.7374, 0.2500, 0.2283)  3 Ir 2.83-3.00
Pr (0.7883, 0.2500, 0.7317)  3 Ir 2.93-2.99
Pr (0.8906, 0.7500, 0.0429)  4 Ir 2.90-2.96
Pr (0.9554, 0.7500, 0.5943)  3 Ir 2.83-2.86
Ir (0.0409, 0.2500, 0.1712)  6 Pr 2.83-2.96
Ir (0.2014, 0.7500, 0.5117)  6 Pr 2.86-3.00
Ir (0.3406, 0.2500, 0.9322)  6 Pr 2.83-2.92
Ir (0.6594, 0.7500, 0.0678)  6 Pr 2.83-2.92
Ir (0.7986, 0.2500, 0.4883)  6 Pr 2.86-3.00
Ir (0.9591, 0.7500, 0.8288)  6 Pr 2.83-2.96
Au (0.4301, 0.2500, 0.3046)  7 Pr 3.22-3.31
Au (0.5699, 0.7500, 0.6954)  7 Pr 3.22-3.31

Its total magnetic moment is 0.00 Bohr magnetons per cell.


Short version: version Q is the most stable of them.